(1)
VASP calculation (PBE) on a geometry-optimized K2TcCO structure.

- Calculated total energy: -4.451 eV/atom
- Energy relative to the elements, uncorrected: 86.6 kJ/mol of atoms
- SG: P4/mmm (123)
- Crystal system: tetragonal

Cell lengths 5.589, 3.827, 5.589 Å; angles 90.00, 90.00, 90.00 degrees
Last column: magnetic moment on the atom in μB.
Positions (direct):
C 0.500 0.500 0.500  1.07
K 0.000 0.000 0.500  0.01
K 0.500 0.000 0.000  0.01
Tc 0.000 0.500 0.000  -1.23
O 0.000 0.000 0.000  0.03



(2)
VASP calculation (PBE) on a geometry-optimized PuCdAgF6 structure.

- Calculated total energy: -5.734 eV/atom
- Energy relative to the elements, uncorrected: -238.8 kJ/mol of atoms
- SG: P-31c (163)
- Crystal system: trigonal

Cell lengths 6.235, 6.235, 9.391 Å; angles 90.00, 90.00, 120.00 degrees
Last column: magnetic moment on the atom in μB.
Positions (direct):
Pu 0.667 0.333 0.250  4.93
Pu 0.333 0.667 0.750  4.93
Cd 0.333 0.667 0.250  0.01
Cd 0.667 0.333 0.750  0.01
Ag 0.000 0.000 0.000  0.00
Ag 0.000 0.000 0.500  0.00
F 0.643 0.644 0.133  -0.01
F 0.002 0.357 0.133  -0.01
F 0.357 0.002 0.633  -0.01
F 0.998 0.643 0.867  -0.01
F 0.356 0.357 0.367  -0.01
F 0.002 0.644 0.367  -0.01
F 0.644 0.002 0.867  -0.01
F 0.643 0.998 0.367  -0.01
F 0.998 0.356 0.633  -0.01
F 0.356 0.998 0.133  -0.01
F 0.644 0.643 0.633  -0.01
F 0.357 0.356 0.867  -0.01



(3)
VASP calculation (PBE) on a geometry-optimized K2S2O7 structure.

- Calculated total energy: -5.782 eV/atom
- Energy relative to the elements, uncorrected: -161.8 kJ/mol of atoms
- Excess energy over the best structure of this formula in the dataset: 0 meV/atom
- SG: C2/c (15)
- Crystal system: monoclinic

Cell lengths 7.502, 7.502, 7.413 Å; angles 92.13, 92.13, 60.09 degrees
Positions (direct):
K 0.526 0.183 0.836
K 0.183 0.526 0.336
K 0.817 0.474 0.664
K 0.474 0.817 0.164
S 0.707 0.097 0.346
S 0.903 0.293 0.154
S 0.293 0.903 0.654
S 0.097 0.707 0.846
O 0.118 0.205 0.112
O 0.795 0.882 0.388
O 0.458 0.830 0.791
O 0.170 0.542 0.709
O 0.882 0.795 0.888
O 0.237 0.655 0.002
O 0.093 0.907 0.750
O 0.345 0.763 0.498
O 0.763 0.345 0.998
O 0.830 0.458 0.291
O 0.542 0.170 0.209
O 0.907 0.093 0.250
O 0.655 0.237 0.502
O 0.205 0.118 0.612



(4)
VASP calculation (PBE) on a geometry-optimized NaSr5Zn structure.

- Calculated total energy: -1.542 eV/atom
- Calculated formation energy: 0.0296 eV/atom
- SG: C2/c (15)
- Crystal system: monoclinic

Cell lengths 7.893, 7.893, 13.283 Å; angles 71.69, 71.69, 61.84 degrees
Positions (direct):
Na 0.463 0.537 0.250
Na 0.537 0.463 0.750
Sr 0.961 0.610 0.131
Sr 0.205 0.542 0.539
Sr 0.610 0.961 0.631
Sr 0.964 0.036 0.250
Sr 0.458 0.795 0.961
Sr 0.542 0.205 0.039
Sr 0.036 0.964 0.750
Sr 0.390 0.039 0.369
Sr 0.795 0.458 0.461
Sr 0.039 0.390 0.869
Zn 0.000 0.000 0.000
Zn 0.000 0.000 0.500



(5)
VASP calculation (PBE) on a geometry-optimized SrAc3O structure.

- Calculated total energy: -4.757 eV/atom
- Energy relative to the elements, uncorrected: -93.0 kJ/mol of atoms
- SG: Pm-3m (221)
- Crystal system: cubic

Cell lengths 5.539, 5.539, 5.539 Å; angles 90.00, 90.00, 90.00 degrees
Positions (direct):
Sr 0.500 0.500 0.500
Ac 0.000 0.500 0.000
Ac 0.000 0.000 0.500
Ac 0.500 0.000 0.000
O 0.000 0.000 0.000



(6)
VASP calculation (PBE) on a geometry-optimized KBaAs2 structure.

- Calculated total energy: -3.509 eV/atom
- Excess energy over the best structure of this formula in the dataset: 257 meV/atom
- Calculated formation energy: -0.4292 eV/atom
- SG: P4/mmm (123)
- Crystal system: tetragonal

Cell lengths 3.571, 3.571, 9.485 Å; angles 90.00, 90.00, 89.99 degrees
Positions (direct):
As 0.000 0.000 0.005
As 0.000 0.000 0.495
Ba 0.500 0.500 0.250
K 0.500 0.500 0.750



(7)
VASP calculation (PBE) on a geometry-optimized CaTb2Nd6Sm structure.

- Calculated total energy: -4.329 eV/atom
- Calculated formation energy: 0.1299 eV/atom
- SG: C2/c (15)
- Crystal system: monoclinic

Cell lengths 9.943, 9.047, 9.047 Å; angles 118.52, 94.34, 94.34 degrees
Positions (direct):
Ca 0.250 0.402 0.598
Ca 0.750 0.598 0.402
Tb 0.456 0.802 0.701
Tb 0.044 0.299 0.198
Tb 0.544 0.198 0.299
Tb 0.956 0.701 0.802
Nd 0.052 0.114 0.761
Nd 0.448 0.239 0.886
Nd 0.948 0.886 0.239
Nd 0.552 0.761 0.114
Nd 0.323 0.973 0.431
Nd 0.177 0.569 0.027
Nd 0.677 0.027 0.569
Nd 0.823 0.431 0.973
Nd 0.122 0.710 0.498
Nd 0.378 0.502 0.290
Nd 0.878 0.290 0.502
Nd 0.622 0.498 0.710
Sm 0.250 0.974 0.026
Sm 0.750 0.026 0.974



(8)
VASP calculation (PBE) on a geometry-optimized Ge2OsPt structure.

- Calculated total energy: -6.305 eV/atom
- Excess energy over the best structure of this formula in the dataset: 120 meV/atom
- Calculated formation energy: 0.3216 eV/atom
- SG: I-42d (122)
- Crystal system: tetragonal

Cell lengths 5.576, 5.576, 6.832 Å; angles 65.91, 65.91, 90.00 degrees
Positions (direct):
Ge 0.615 0.125 0.250
Ge 0.135 0.625 0.250
Ge 0.375 0.385 0.750
Ge 0.875 0.865 0.750
Os 0.500 0.500 0.000
Os 0.250 0.750 0.500
Pt 0.000 0.000 0.000
Pt 0.750 0.250 0.500



(9)
VASP calculation (PBE) on a geometry-optimized CeMg2Au structure.

- Calculated total energy: -3.311 eV/atom
- Calculated formation energy: -0.2108 eV/atom
- SG: Fm-3m (225)
- Crystal system: cubic

Cell lengths 4.993, 4.993, 4.990 Å; angles 59.98, 59.98, 60.00 degrees
Last column: magnetic moment on the atom in μB.
Positions (direct):
Mg 0.750 0.750 0.751  0.00
Mg 0.250 0.250 0.249  0.00
Au 0.500 0.500 0.500  0.00
Ce 0.000 0.000 0.000  0.79